[1]
A crystal of VPO5 relaxed with PBEsol. Source: Alexandria via LeMat-Bulk, functional SCAN.

ρ = 3.3 g cm⁻³
formation energy (no corrections) = -2404 meV per atom
energy above the lowest structure with this stoichiometry = 0.0748 eV/atom
D(E_F) = 0.000 states/eV/f.u.
space group = C2/c, No. 15

Cell lengths 5.129, 7.294, 9.977 Å; angles 70.43, 75.11, 69.42 degrees
Fractional positions:
O 0.705 0.437 0.146
P 0.657 0.945 0.805
O 0.046 0.650 0.098
O 0.841 0.060 0.824
O 0.206 0.150 0.598
V 0.000 0.500 0.000
O 0.250 0.443 0.654
V 0.960 0.750 0.250
O 0.295 0.563 0.854
O 0.750 0.557 0.346
V 0.500 0.000 0.500
O 0.954 0.350 0.902
O 0.653 0.943 0.154
P 0.343 0.055 0.195
O 0.637 0.229 0.403
O 0.288 0.063 0.354
P 0.593 0.445 0.305
O 0.725 0.440 0.676
O 0.794 0.850 0.402
O 0.347 0.057 0.846
P 0.407 0.555 0.695
O 0.275 0.560 0.324
O 0.363 0.771 0.597
O 0.269 0.271 0.097
V 0.040 0.250 0.750
O 0.712 0.937 0.646
O 0.159 0.940 0.176
O 0.731 0.729 0.903

[2]
A crystal of MnBe2Re relaxed with PBEsol. Source: Alexandria via LeMat-Bulk, functional SCAN.

ρ = 10.7 g cm⁻³
energy above the lowest structure with this stoichiometry = 0.3334 eV/atom
D(E_F) = 4.241 states/eV/f.u.
space group = Fm-3m, No. 225
ΔE_f = 0.58 eV per formula unit

Cell lengths 3.848, 3.848, 3.848 Å; angles 60.00, 60.00, 60.00 degrees
Fractional positions:
Be 0.750 0.750 0.750
Be 0.250 0.250 0.250
Mn 0.000 0.000 0.000
Re 0.500 0.500 0.500

[3]
A crystal of Y2TlP relaxed with PBEsol. Source: Alexandria via LeMat-Bulk, functional SCAN.

ρ = 6.4 g cm⁻³
energy above the lowest structure with this stoichiometry = 0.8166 eV/atom
D(E_F) = 2.367 states/eV/f.u.
space group = R3m, No. 160
ΔE_f = -1.56 eV per formula unit

Cell lengths 3.868, 3.868, 8.628 Å; angles 77.05, 77.05, 60.00 degrees
Fractional positions:
P 0.502 0.502 0.494
Tl 0.231 0.231 0.306
Y 0.995 0.995 0.016
Y 0.772 0.772 0.684